A plane-wave DFT calculation with GGA-PBE was carried out for a relaxed HoCuNi2 crystal.

The structure in POSCAR format:
```
HoCuNi2
1.0
3.984 0.000 0.000
0.000 3.984 0.000
0.000 0.000 3.695
Ho Cu Ni
1 1 2
direct
0.000 0.000 0.000
0.500 0.500 0.000
0.000 0.500 0.500
0.500 0.000 0.500
```

**E_form**: -0.2281 eV/atom
**Mass density**: 9.8 g/cm3

=====

A plane-wave DFT calculation with GGA-PBE was carried out for a relaxed Ho2CuNi crystal.

The structure in POSCAR format:
```
Ho2CuNi
1.0
1.914 1.105 8.521
-1.914 1.105 8.521
0.000 -2.211 8.521
Ho Cu Ni
2 1 1
direct
0.109 0.109 0.109
0.891 0.891 0.891
0.000 0.000 0.000
0.500 0.500 0.500
```

**E_form**: 0.2714 eV/atom
**Mass density**: 6.9 g/cm3

=====

A plane-wave DFT calculation with GGA-PBE was carried out for a relaxed HoCu2Ni4 crystal.

The structure in POSCAR format:
```
HoCu2Ni4
1.0
-3.506 3.506 2.472
3.506 -3.506 2.472
3.506 3.506 -2.472
Ho Cu Ni
1 2 4
direct
0.000 0.000 0.000
0.250 0.750 0.500
0.750 0.250 0.500
0.278 0.500 0.778
0.500 0.278 0.778
0.500 0.722 0.222
0.722 0.500 0.222
```

**E_form**: 0.4057 eV/atom
**Offset from the most stable computed form**: 0.587 eV/atom
**Mass density**: 7.2 g/cm3

=====

A plane-wave DFT calculation with GGA-PBE was carried out for a relaxed Ho3CuNi8 crystal.

The structure in POSCAR format:
```
Ho3CuNi8
1.0
2.477 1.430 8.109
-2.477 1.430 8.109
0.000 -2.860 8.109
Ho Cu Ni
3 1 8
direct
0.000 0.000 0.000
0.130 0.130 0.130
0.612 0.612 0.612
0.492 0.492 0.492
0.058 0.058 0.563
0.058 0.563 0.058
0.064 0.560 0.560
0.311 0.311 0.311
0.560 0.064 0.560
0.560 0.560 0.064
0.563 0.058 0.058
0.811 0.811 0.811
```

**E_form**: -0.3956 eV/atom
**Mass density**: 9.9 g/cm3

=====

A plane-wave DFT calculation with GGA-PBE was carried out for a relaxed Ho2Cu3Ni2 crystal.

The structure in POSCAR format:
```
Ho2Cu3Ni2
1.0
4.646 -2.004 0.000
4.646 2.004 0.000
-2.615 0.000 6.049
Ho Cu Ni
2 3 2
direct
0.139 0.139 0.264
0.861 0.861 0.736
0.369 0.369 0.066
0.500 0.500 0.500
0.631 0.631 0.934
0.138 0.138 0.695
0.862 0.862 0.305
```

**E_form**: -0.3247 eV/atom
**Offset from the most stable computed form**: 0.000 eV/atom
**Mass density**: 9.4 g/cm3

=====

A plane-wave DFT calculation with GGA-PBE was carried out for a relaxed Ho4Cu5Ni2 crystal.

The structure in POSCAR format:
```
Ho4Cu5Ni2
1.0
6.769 0.000 0.000
0.000 3.891 0.000
-0.167 0.000 7.696
Ho Cu Ni
4 5 2
direct
0.223 0.000 0.360
0.244 0.000 0.890
0.756 0.000 0.110
0.777 0.000 0.640
0.140 0.500 0.619
0.438 0.500 0.155
0.500 0.500 0.500
0.562 0.500 0.845
0.860 0.500 0.381
0.076 0.500 0.136
0.924 0.500 0.864
```

**E_form**: -0.2779 eV/atom
**Mass density**: 9.0 g/cm3

=====

A plane-wave DFT calculation with GGA-PBE was carried out for a relaxed Ho2Cu2Ni crystal.

The structure in POSCAR format:
```
Ho2Cu2Ni
1.0
4.915 -1.933 0.000
4.915 1.933 0.000
-4.108 0.000 9.863
Ho Cu Ni
4 4 2
direct
0.008 0.008 0.340
0.193 0.193 0.120
0.807 0.807 0.880
0.992 0.992 0.660
0.345 0.345 0.449
0.478 0.478 0.111
0.522 0.522 0.889
0.655 0.655 0.551
0.292 0.292 0.678
0.708 0.708 0.322
```

**E_form**: -0.3314 eV/atom
**Mass density**: 9.1 g/cm3

=====

A plane-wave DFT calculation with GGA-PBE was carried out for a relaxed Ho3Cu4Ni4 crystal.

The structure in POSCAR format:
```
Ho3Cu4Ni4
1.0
-3.594 3.594 3.594
3.594 -3.594 3.594
3.594 3.594 -3.594
Ho Cu Ni
3 4 4
direct
0.000 0.500 0.500
0.500 0.000 0.500
0.500 0.500 0.000
0.000 0.000 0.243
0.000 0.243 0.000
0.243 0.000 0.000
0.757 0.757 0.757
0.000 0.000 0.603
0.000 0.603 0.000
0.397 0.397 0.397
0.603 0.000 0.000
```

**E_form**: -0.1237 eV/atom
**Mass density**: 8.8 g/cm3